Material: HgO2F4
Method: DFT, GGA-PBE
State: optimized geometry

Summary:
ΔE_f (raw) ... -0.6568 eV/atom

Cell lengths 4.053, 4.089, 7.832 Å; angles 76.34, 108.60, 92.99 degrees
Last column: magnetic moment on the atom in μB.
Element x y z (fractional)
1 Hg 0.000 0.000 0.000  0.12
2 O 0.387 0.399 0.496  0.65
3 O 0.613 0.601 0.504  0.65
4 F 0.967 0.553 0.168  0.06
5 F 0.033 0.447 0.832  0.06
6 F 0.526 0.966 0.820  0.06
7 F 0.474 0.034 0.180  0.06

***

Material: Na7SrIn5
Method: DFT, GGA-PBE
State: optimized geometry

Summary:
Formation energy from the elements ... -123 meV per atom

Cell lengths 6.437, 8.489, 8.489 Å; angles 80.74, 67.72, 67.72 degrees
Element x y z (fractional)
1 Na 0.684 0.316 0.316
2 Na 0.364 0.636 0.636
3 Na 0.987 0.358 0.669
4 Na 0.987 0.669 0.358
5 Na 0.277 0.223 0.223
6 Na 0.495 0.799 0.212
7 Na 0.495 0.212 0.799
8 Sr 0.042 0.958 0.958
9 In 0.482 0.000 0.519
10 In 0.998 0.000 0.519
11 In 0.482 0.519 0.000
12 In 0.998 0.519 0.000
13 In 0.709 0.791 0.791

***

Material: Na3Sr3Ca2
Method: DFT, GGA-PBE
State: optimized geometry

Summary:
Formation energy from the elements ... 27 meV per atom

Cell lengths 4.408, 6.331, 13.353 Å; angles 103.71, 99.50, 90.00 degrees
Element x y z (fractional)
1 Na 0.126 0.126 0.251
2 Na 0.000 0.500 0.000
3 Na 0.874 0.874 0.749
4 Sr 0.626 0.626 0.252
5 Sr 0.374 0.374 0.748
6 Sr 0.500 0.000 0.000
7 Ca 0.741 0.241 0.481
8 Ca 0.259 0.759 0.519

***

Material: Hf8TiSn2
Method: DFT, GGA-PBE
State: optimized geometry

Summary:
Formation energy from the elements ... 23 meV per atom

Cell lengths 5.279, 7.827, 7.827 Å; angles 121.74, 102.40, 102.40 degrees
Element x y z (fractional)
1 Hf 0.836 0.897 0.681
2 Hf 0.836 0.681 0.897
3 Hf 0.292 0.606 0.606
4 Hf 0.500 0.791 0.209
5 Hf 0.500 0.209 0.791
6 Hf 0.708 0.394 0.394
7 Hf 0.164 0.319 0.103
8 Hf 0.164 0.103 0.319
9 Ti 0.500 0.000 0.000
10 Sn 0.000 0.302 0.698
11 Sn 0.000 0.698 0.302

***

Question: Number 1 is which compound?
Answer: HgO2F4